1.
Material: K2TaNbO6
Method: DFT, SCAN
State: single point on PBEsol structure Values from VASP.

Geometry as Quantum ESPRESSO input:
```
&SYSTEM
  ibrav = 0, nat = 10, ntyp = 4
/
ATOMIC_SPECIES
K 39.10 K.upf
Ta 180.95 Ta.upf
Nb 92.91 Nb.upf
O 16.00 O.upf
ATOMIC_POSITIONS crystal
K 0.2500 0.2500 0.2500
K 0.7500 0.7500 0.7500
Ta 0.5000 0.5000 0.5000
Nb 0.0000 0.0000 0.0000
O 0.7490 0.2510 0.2510
O 0.2510 0.7490 0.7490
O 0.7490 0.2510 0.7490
O 0.2510 0.7490 0.2510
O 0.7490 0.7490 0.2510
O 0.2510 0.2510 0.7490
CELL_PARAMETERS angstrom
5.6628 0.0000 0.0000
2.8314 4.9042 0.0000
2.8314 1.6347 4.6237
```

Properties
The value obtained for the total moment is 0.00 μB per formula unit. As for the density: 5.8 g cm⁻³. The value obtained for the total energy is -18.161 eV per atom. Its formation energy from raw total energies is -64.233 kcal/mol of atoms.

---

2.
Material: K2TbNb5O15
Method: DFT, SCAN
State: single point on PBEsol structure Values from VASP.

Geometry as Quantum ESPRESSO input:
```
&SYSTEM
  ibrav = 0, nat = 46, ntyp = 4
/
ATOMIC_SPECIES
K 39.10 K.upf
Tb 158.93 Tb.upf
Nb 92.91 Nb.upf
O 16.00 O.upf
ATOMIC_POSITIONS crystal
K 0.5000 0.6700 0.1700
K 0.5000 0.3300 0.8300
K 0.5000 0.1700 0.3300
K 0.5000 0.8300 0.6700
Tb 0.5000 0.0000 0.0000
Tb 0.5000 0.5000 0.5000
Nb 0.0000 0.5000 0.0000
Nb 0.0000 0.0000 0.5000
Nb 0.0000 0.2115 0.0769
Nb 0.0000 0.7885 0.9231
Nb 0.0000 0.0769 0.7885
Nb 0.0000 0.7115 0.4231
Nb 0.0000 0.9231 0.2115
Nb 0.0000 0.2885 0.5769
Nb 0.0000 0.5769 0.7115
Nb 0.0000 0.4231 0.2885
O 0.5000 0.1842 0.0784
O 0.5000 0.8158 0.9216
O 0.5000 0.0784 0.8158
O 0.5000 0.6842 0.4216
O 0.5000 0.9216 0.1842
O 0.5000 0.3158 0.5784
O 0.5000 0.5784 0.6842
O 0.5000 0.4216 0.3158
O 0.0000 0.2178 0.7178
O 0.0000 0.7822 0.2822
O 0.0000 0.7178 0.7822
O 0.0000 0.2822 0.2178
O 0.5000 0.5000 0.0000
O 0.5000 0.0000 0.5000
O 0.0000 0.0584 0.1306
O 0.0000 0.9416 0.8694
O 0.0000 0.1306 0.9416
O 0.0000 0.5584 0.3694
O 0.0000 0.8694 0.0584
O 0.0000 0.4416 0.6306
O 0.0000 0.6306 0.5584
O 0.0000 0.3694 0.4416
O 0.0000 0.3417 0.9987
O 0.0000 0.6583 0.0013
O 0.0000 0.9987 0.6583
O 0.0000 0.8417 0.5013
O 0.0000 0.0013 0.3417
O 0.0000 0.1583 0.4987
O 0.0000 0.4987 0.8417
O 0.0000 0.5013 0.1583
CELL_PARAMETERS angstrom
-3.3333 -2.0654 0.0066
3.0286 -4.8519 11.2585
-5.9217 9.5754 5.7195
```

Properties
The value obtained for the total moment is 0.00 μB per formula unit. As for the density: 5.0 g cm⁻³. The value obtained for the total energy is -16.865 eV per atom. Its formation energy from raw total energies is -65.532 kcal/mol of atoms.

---

3.
Material: KNbW2O9
Method: DFT, SCAN
State: single point on PBEsol structure Values from VASP.

Geometry as Quantum ESPRESSO input:
```
&SYSTEM
  ibrav = 0, nat = 39, ntyp = 4
/
ATOMIC_SPECIES
K 39.10 K.upf
Nb 92.91 Nb.upf
W 183.84 W.upf
O 16.00 O.upf
ATOMIC_POSITIONS crystal
K 0.9664 0.1083 0.1827
K 0.9584 0.7942 0.8110
K 0.7191 0.4973 0.4986
Nb 0.4079 0.3329 0.3352
Nb 0.4215 0.6645 0.6662
Nb 0.4261 0.8305 0.3329
W 0.5187 0.9979 0.5005
W 0.5238 0.4967 0.9999
W 0.5245 0.9984 0.9999
W 0.3985 0.1669 0.6653
W 0.4029 0.6663 0.1614
W 0.4011 0.3294 0.8356
O 0.9589 0.8503 0.3259
O 0.9458 0.1682 0.6700
O 0.9506 0.6749 0.1546
O 0.9492 0.3308 0.8394
O 0.4697 0.9644 0.3786
O 0.4567 0.0501 0.6235
O 0.4658 0.6235 0.0428
O 0.4663 0.3797 0.9555
O 0.9778 0.0038 0.9972
O 0.4554 0.1647 0.3870
O 0.4614 0.8410 0.6259
O 0.4649 0.6221 0.8408
O 0.4605 0.3843 0.1635
O 0.4535 0.2940 0.5092
O 0.4681 0.7053 0.4990
O 0.4606 0.4940 0.7173
O 0.4518 0.5122 0.2853
O 0.4646 0.7172 0.2773
O 0.4530 0.2895 0.7157
O 0.9438 0.3425 0.3383
O 0.9541 0.6742 0.6718
O 0.4685 0.9669 0.1575
O 0.4631 0.0538 0.8330
O 0.4674 0.8393 0.0403
O 0.4643 0.1688 0.9557
O 0.9726 0.0013 0.5055
O 0.9768 0.5000 0.0004
CELL_PARAMETERS angstrom
3.9347 0.0048 -0.0009
0.0205 12.8837 0.0059
0.0157 6.4149 11.1644
```

Properties
The value obtained for the total moment is 0.00 μB per formula unit. As for the density: 5.7 g cm⁻³. The value obtained for the total energy is -20.646 eV per atom. Its formation energy from raw total energies is -55.846 kcal/mol of atoms.

---

4.
Material: K2YNb5O15
Method: DFT, SCAN
State: single point on PBEsol structure Values from VASP.

Geometry as Quantum ESPRESSO input:
```
&SYSTEM
  ibrav = 0, nat = 23, ntyp = 4
/
ATOMIC_SPECIES
K 39.10 K.upf
Y 88.91 Y.upf
Nb 92.91 Nb.upf
O 16.00 O.upf
ATOMIC_POSITIONS crystal
K 0.0000 0.3007 0.6993
K 0.0000 0.6993 0.3007
Y 0.0000 0.0000 0.0000
Nb 0.5000 0.3169 0.0577
Nb 0.5000 0.0577 0.3169
Nb 0.5000 0.6831 0.9423
Nb 0.5000 0.9423 0.6831
Nb 0.5000 0.5000 0.5000
O 0.5000 0.1252 0.1252
O 0.5000 0.1652 0.8348
O 0.5000 0.2720 0.4574
O 0.5000 0.8348 0.1652
O 0.5000 0.8748 0.8748
O 0.0000 0.2752 0.0456
O 0.0000 0.7248 0.9544
O 0.5000 0.5426 0.7280
O 0.0000 0.0456 0.2752
O 0.5000 0.5000 0.0000
O 0.5000 0.4574 0.2720
O 0.0000 0.9544 0.7248
O 0.0000 0.5000 0.5000
O 0.5000 0.7280 0.5426
O 0.5000 0.0000 0.5000
CELL_PARAMETERS angstrom
3.9375 0.0000 0.0000
0.0000 9.2512 0.0056
0.0000 -3.4434 8.5865
```

Properties
The value obtained for the total moment is 0.00 μB per formula unit. As for the density: 4.6 g cm⁻³. The value obtained for the total energy is -16.063 eV per atom. Its formation energy from raw total energies is -66.007 kcal/mol of atoms.

---

5.
Material: KNbRuPb2
Method: DFT, SCAN
State: single point on PBEsol structure Values from VASP.

Geometry as Quantum ESPRESSO input:
```
&SYSTEM
  ibrav = 0, nat = 5, ntyp = 4
/
ATOMIC_SPECIES
Pb 207.20 Pb.upf
Ru 101.07 Ru.upf
Nb 92.91 Nb.upf
K 39.10 K.upf
ATOMIC_POSITIONS crystal
Pb 0.0000 0.0000 0.5000
Pb 0.0000 0.5000 0.0000
Ru 0.0000 0.0000 0.0000
Nb 0.5000 0.5000 0.5000
K 0.5000 0.0000 0.0000
CELL_PARAMETERS angstrom
-3.2309 -3.1392 2.8995
0.5430 -3.7891 -3.4973
4.1001 -1.8153 2.6034
```

Properties
The value obtained for the total moment is 5.51 μB per formula unit. As for the density: 7.5 g cm⁻³. The value obtained for the total energy is -44.449 eV per atom. The formation energy comes out at 1.12 eV/atom.

---

6.
Material: KNb2Pt
Method: DFT, SCAN
State: single point on PBEsol structure Values from VASP.

Geometry as Quantum ESPRESSO input:
```
&SYSTEM
  ibrav = 0, nat = 4, ntyp = 3
/
ATOMIC_SPECIES
Nb 92.91 Nb.upf
K 39.10 K.upf
Pt 195.08 Pt.upf
ATOMIC_POSITIONS crystal
Nb 0.2500 0.2500 0.2500
Nb 0.7500 0.7500 0.7500
K 0.0000 0.0000 0.0000
Pt 0.5000 0.5000 0.5000
CELL_PARAMETERS angstrom
-3.8201 2.6082 0.4779
-3.7811 -1.7681 2.0498
-1.2784 1.5013 4.2114
```

Properties
The value obtained for the total moment is 0.00 μB per formula unit. As for the density: 9.8 g cm⁻³. The value obtained for the total energy is -35.502 eV per atom. The formation energy comes out at 0.69 eV/atom.

---

Which of these has the lowest total energy? KNbRuPb2

---

What is the total moment in the third record? 0.00 μB per formula unit